Sr2Pr2CrNiO8 | GGA+U | optimized geometry

Output
Space group ... No. 38
Energy ... -97.28 eV for the cell shown
Density of states at the Fermi level ... 0.00 states/eV/f.u.

Geometry as CIF:
```
data_Sr2Pr2CrNiO8
_chemical_formula_sum 'Sr2 Pr2 Cr1 Ni1 O8'
_cell_length_a 5.468
_cell_length_b 6.862
_cell_length_c 6.862
_cell_angle_alpha 46.66
_cell_angle_beta 90.00
_cell_angle_gamma 90.00
_space_group_name_H-M_alt 'P 1'
_space_group_IT_number 1
_space_group_name_Hall 'P 1'
loop_
_atom_site_label
_atom_site_type_symbol
_atom_site_fract_x
_atom_site_fract_y
_atom_site_fract_z
_atom_site_occupancy
Sr1 Sr 0.000 0.000 0.000 1
Sr2 Sr 0.500 0.209 0.209 1
Pr1 Pr 0.000 0.716 0.716 1
Pr2 Pr 0.500 0.492 0.492 1
Cr1 Cr 0.000 0.353 0.353 1
Ni1 Ni 0.500 0.856 0.856 1
O1 O 0.000 0.195 0.195 1
O2 O 0.000 0.526 0.526 1
O3 O 0.241 0.110 0.598 1
O4 O 0.241 0.598 0.110 1
O5 O 0.500 0.020 0.020 1
O6 O 0.500 0.676 0.676 1
O7 O 0.759 0.110 0.598 1
O8 O 0.759 0.598 0.110 1
```